No. 1
This record from the Alexandria database describes SmY3Er2Bi6 after structural relaxation. The functional is PBE-GGA.

## Properties
**Formation energy from the elements**: -10.5 eV/f.u.

Cell: 7.7676 13.4565 7.7638 Å, 90.00 109.47 90.00°
Space group C2/m (No. 12)
One atom of each set of equivalent atoms:
Sm: 0.0000 0.0000 0.0000 (multiplicity 2)
Y: 0.0000 0.1646 0.5000 (multiplicity 4)
Y: 0.0000 0.5000 0.5000 (multiplicity 2)
Er: 0.0000 0.3326 0.0000 (multiplicity 4)
Bi: 0.2447 0.5000 0.2483 (multiplicity 4)
Bi: 0.2475 0.3312 0.7496 (multiplicity 8)

=====

No. 2
This record from the Alexandria database describes Sm2Y3ErBi6 after structural relaxation. The functional is PBE-GGA.

## Properties
**Formation energy from the elements**: -10.7 eV/f.u.

Cell: 7.8007 13.5156 7.7951 Å, 90.00 109.49 90.00°
Space group C2/m (No. 12)
One atom of each set of equivalent atoms:
Sm: 0.0000 0.1658 0.0000 (multiplicity 4)
Y: 0.0000 0.0000 0.5000 (multiplicity 2)
Y: 0.0000 0.3310 0.5000 (multiplicity 4)
Er: 0.0000 0.5000 0.0000 (multiplicity 2)
Bi: 0.2438 0.5000 0.7460 (multiplicity 4)
Bi: 0.2480 0.3354 0.2514 (multiplicity 8)

=====

No. 3
This record from the Alexandria database describes Sm2YEr3Bi6 after structural relaxation. The functional is PBE-GGA.

## Properties
**Formation energy from the elements**: -10.4 eV/f.u.

Cell: 19.5680 4.4916 8.9804 Å, 90.00 103.17 90.00°
Space group C2/m (No. 12)
One atom of each set of equivalent atoms:
Sm: 0.1662 0.0000 0.3328 (multiplicity 4)
Y: 0.0000 0.5000 0.0000 (multiplicity 2)
Er: 0.0000 0.5000 0.5000 (multiplicity 2)
Er: 0.1674 0.0000 0.8335 (multiplicity 4)
Bi: 0.0022 0.0000 0.7492 (multiplicity 4)
Bi: 0.1651 0.5000 0.5875 (multiplicity 4)
Bi: 0.1670 0.5000 0.0781 (multiplicity 4)

=====

No. 4
This record from the Alexandria database describes ErSnBi after structural relaxation. The functional is PBE-GGA.

## Properties
**Formation energy from the elements**: -1.6 eV/f.u.

Cell: 4.5509 16.4326 4.4684 Å, 90.00 90.00 90.00°
Space group Cmcm (No. 63)
One atom of each set of equivalent atoms:
Er: 0.0000 0.0966 0.2500 (multiplicity 4)
Sn: 0.0000 0.4381 0.2500 (multiplicity 4)
Bi: 0.0000 0.2503 0.7500 (multiplicity 4)

=====

No. 5
This record from the Alexandria database describes Er6SnBi2 after structural relaxation. The functional is PBE-GGA.

## Properties
**Formation energy from the elements**: -3.8 eV/f.u.

Cell: 6.3007 8.2707 12.0755 Å, 90.00 120.92 90.00°
Space group P2_1/c (No. 14)
One atom of each set of equivalent atoms:
Er: 0.0668 0.2062 0.4506 (multiplicity 4)
Er: 0.3217 0.6563 0.4554 (multiplicity 4)
Er: 0.3668 0.0400 0.2261 (multiplicity 4)
Sn: 0.5000 0.0000 0.5000 (multiplicity 2)
Bi: 0.1351 0.1119 0.7388 (multiplicity 4)

=====

No. 6
This record from the Alexandria database describes Er2SnBi after structural relaxation. The functional is PBE-GGA.

## Properties
**Formation energy from the elements**: -2.1 eV/f.u.

Cell: 5.0397 5.0397 4.3052 Å, 90.00 90.00 90.00°
Space group P4/mmm (No. 123)
One atom of each set of equivalent atoms:
Er: 0.0000 0.5000 0.0000 (multiplicity 2)
Sn: 0.0000 0.0000 0.5000 (multiplicity 1)
Bi: 0.5000 0.5000 0.5000 (multiplicity 1)

=====

No. 7
This record from the Alexandria database describes Er2SnBi after structural relaxation. The functional is PBE-GGA.

## Properties
**Formation energy from the elements**: -2.9 eV/f.u.

Cell: 4.4852 23.8691 4.3372 Å, 90.00 90.00 90.00°
Space group Cmcm (No. 63)
One atom of each set of equivalent atoms:
Er: 0.0000 0.0610 0.2500 (multiplicity 4)
Er: 0.0000 0.3198 0.2500 (multiplicity 4)
Sn: 0.0000 0.4530 0.2500 (multiplicity 4)
Bi: 0.0000 0.1889 0.2500 (multiplicity 4)

=====

No. 8
This record from the Alexandria database describes Er5Sn2Bi2 after structural relaxation. The functional is PBE-GGA.

## Properties
**Formation energy from the elements**: -6.8 eV/f.u.

Cell: 15.4857 8.1539 8.1787 Å, 90.00 90.00 90.00°
Space group Cmce (No. 64)
One atom of each set of equivalent atoms:
Er: 0.0000 0.0000 0.0000 (multiplicity 4)
Er: 0.1308 0.1632 0.3374 (multiplicity 16)
Sn: 0.0000 0.1388 0.6381 (multiplicity 8)
Bi: 0.2043 0.0000 0.0000 (multiplicity 8)

=====

No. 9
This record from the Alexandria database describes Er5SnBi4 after structural relaxation. The functional is PBE-GGA.

## Properties
**Formation energy from the elements**: -7.5 eV/f.u.

Cell: 9.9106 9.9106 6.2654 Å, 90.00 90.00 90.00°
Space group I4/m (No. 87)
One atom of each set of equivalent atoms:
Er: 0.0000 0.0000 0.0000 (multiplicity 2)
Er: 0.0997 0.2948 0.5000 (multiplicity 8)
Sn: 0.0000 0.0000 0.5000 (multiplicity 2)
Bi: 0.0976 0.3014 0.0000 (multiplicity 8)

=====

No. 10
This record from the Alexandria database describes ErSnBi2 after structural relaxation. The functional is PBE-GGA.

## Properties
**Formation energy from the elements**: -1.3 eV/f.u.

Cell: 4.2076 4.2076 6.6179 Å, 90.00 90.00 90.00°
Space group P4/mmm (No. 123)
One atom of each set of equivalent atoms:
Er: 0.0000 0.0000 0.0000 (multiplicity 1)
Sn: 0.0000 0.0000 0.5000 (multiplicity 1)
Bi: 0.5000 0.5000 0.2383 (multiplicity 2)

=====

No. 11
This record from the Alexandria database describes Er2SnBi after structural relaxation. The functional is PBE-GGA.

## Properties
**Formation energy from the elements**: -2.5 eV/f.u.

Cell: 4.2643 4.5596 6.2164 Å, 90.00 109.91 90.00°
Space group Pm (No. 6)
One atom of each set of equivalent atoms:
Er: 0.0000 0.0000 0.0000 (multiplicity 1)
Er: 0.2526 0.5000 0.5047 (multiplicity 1)
Sn: 0.7391 0.0000 0.4757 (multiplicity 1)
Bi: 0.5207 0.5000 0.0422 (multiplicity 1)

=====

No. 12
This record from the Alexandria database describes ErSnBi after structural relaxation. The functional is PBE-GGA.

## Properties
**Formation energy from the elements**: -1.2 eV/f.u.

Cell: 4.0333 4.0333 10.2795 Å, 90.00 90.00 90.00°
Space group I4mm (No. 107)
One atom of each set of equivalent atoms:
Er: 0.0000 0.0000 0.0000 (multiplicity 2)
Sn: 0.0000 0.0000 0.6594 (multiplicity 2)
Bi: 0.0000 0.0000 0.3425 (multiplicity 2)

=====

No. 13
This record from the Alexandria database describes Er7Sn5Bi after structural relaxation. The functional is PBE-GGA.

## Properties
**Formation energy from the elements**: -6.1 eV/f.u.

Cell: 6.1912 11.2224 10.5072 Å, 90.00 90.00 90.00°
Space group Imm2 (No. 44)
One atom of each set of equivalent atoms:
Er: 0.0000 0.0000 0.0000 (multiplicity 2)
Er: 0.0000 0.0000 0.3881 (multiplicity 2)
Er: 0.0000 0.3339 0.6123 (multiplicity 4)
Er: 0.0000 0.3364 0.0996 (multiplicity 4)
Er: 0.0000 0.5000 0.3515 (multiplicity 2)
Sn: 0.0000 0.5000 0.8545 (multiplicity 2)
Sn: 0.2489 0.2560 0.3578 (multiplicity 8)
Bi: 0.0000 0.0000 0.6804 (multiplicity 2)

=====

No. 14
This record from the Alexandria database describes Er2SnBi after structural relaxation. The functional is PBE-GGA.

## Properties
**Formation energy from the elements**: -2.2 eV/f.u.

Cell: 4.0239 4.0239 6.8058 Å, 90.00 90.00 90.00°
Space group P4/mmm (No. 123)
One atom of each set of equivalent atoms:
Er: 0.0000 0.0000 0.2458 (multiplicity 2)
Sn: 0.5000 0.5000 0.0000 (multiplicity 1)
Bi: 0.5000 0.5000 0.5000 (multiplicity 1)

=====

No. 15
This record from the Alexandria database describes Er5SnBi5 after structural relaxation. The functional is PBE-GGA.

## Properties
**Formation energy from the elements**: -5.7 eV/f.u.

Cell: 14.0166 6.1801 8.7122 Å, 90.00 108.49 90.00°
Space group C2/m (No. 12)
One atom of each set of equivalent atoms:
Er: 0.0000 0.0000 0.0000 (multiplicity 2)
Er: 0.1672 0.5000 0.3300 (multiplicity 4)
Er: 0.1711 0.5000 0.8399 (multiplicity 4)
Sn: 0.0000 0.5000 0.0000 (multiplicity 2)
Bi: 0.0000 0.5000 0.5000 (multiplicity 2)
Bi: 0.1543 0.0000 0.8096 (multiplicity 4)
Bi: 0.1600 0.0000 0.3422 (multiplicity 4)

=====

No. 16
This record from the Alexandria database describes Er8SnBi5 after structural relaxation. The functional is PBE-GGA.

## Properties
**Formation energy from the elements**: -9.5 eV/f.u.

Cell: 9.2915 9.2915 9.3312 Å, 90.00 90.00 90.00°
Space group I-4 (No. 82)
One atom of each set of equivalent atoms:
Er: 0.0722 0.1735 0.2948 (multiplicity 8)
Er: 0.0739 0.3174 0.9478 (multiplicity 8)
Sn: 0.0000 0.0000 0.0000 (multiplicity 2)
Bi: 0.0000 0.5000 0.2500 (multiplicity 2)
Bi: 0.1221 0.2507 0.6211 (multiplicity 8)

=====

No. 17
This record from the Alexandria database describes Er8SnBi2 after structural relaxation. The functional is PBE-GGA.

## Properties
**Formation energy from the elements**: -4.0 eV/f.u.

Cell: 18.3953 5.1678 6.8190 Å, 90.00 92.24 90.00°
Space group C2/m (No. 12)
One atom of each set of equivalent atoms:
Er: 0.0327 0.0000 0.2481 (multiplicity 4)
Er: 0.0914 0.5000 0.9358 (multiplicity 4)
Er: 0.1605 0.5000 0.4103 (multiplicity 4)
Er: 0.2164 0.0000 0.1291 (multiplicity 4)
Sn: 0.0000 0.5000 0.5000 (multiplicity 2)
Bi: 0.1664 0.0000 0.6752 (multiplicity 4)

=====

No. 18
This record from the Alexandria database describes Er5SnBi2 after structural relaxation. The functional is PBE-GGA.

## Properties
**Formation energy from the elements**: -2.4 eV/f.u.

Cell: 5.9302 11.6347 14.1666 Å, 90.00 90.00 90.00°
Space group Cmcm (No. 63)
One atom of each set of equivalent atoms:
Er: 0.0000 0.0756 0.1017 (multiplicity 8)
Er: 0.0000 0.3787 0.0514 (multiplicity 8)
Er: 0.0000 0.4192 0.7500 (multiplicity 4)
Sn: 0.0000 0.2732 0.2500 (multiplicity 4)
Bi: 0.0000 0.1981 0.6135 (multiplicity 8)

=====

No. 19
This record from the Alexandria database describes ErSnBi after structural relaxation. The functional is PBE-GGA.

## Properties
**Formation energy from the elements**: -1.2 eV/f.u.

Cell: 6.1668 6.2107 9.5113 Å, 90.00 96.32 90.00°
Space group C2/m (No. 12)
One atom of each set of equivalent atoms:
Er: 0.1405 0.0000 0.3002 (multiplicity 4)
Sn: 0.2462 0.0000 0.9679 (multiplicity 4)
Bi: 0.1463 0.5000 0.3594 (multiplicity 4)

=====

No. 20
This record from the Alexandria database describes Er10Sn3Bi3 after structural relaxation. The functional is PBE-GGA.

## Properties
**Formation energy from the elements**: -10.9 eV/f.u.

Cell: 8.9862 8.9862 6.4145 Å, 90.00 90.00 120.00°
Space group P-62m (No. 189)
One atom of each set of equivalent atoms:
Er: 0.0000 0.2387 0.0000 (multiplicity 3)
Er: 0.0000 0.7602 0.5000 (multiplicity 3)
Er: 0.3333 0.6667 0.2548 (multiplicity 4)
Sn: 0.0000 0.3916 0.5000 (multiplicity 3)
Bi: 0.0000 0.6065 0.0000 (multiplicity 3)